No. 1
Here is a geometry-optimized LaSb2 structure from Alexandria. Energies are from PBE.

Summary:
Formation energy without anion corrections (eV/atom): -0.42
ρ (g/cm³): 5.907
DOS at the Fermi energy (states/eV/cell): 2.82
DFT total energy (eV per cell): -14.4
Crystal system: cubic

a b c (Å): 5.337 5.337 5.337
angles (deg): 60.00 60.00 60.00
Element x y z (fractional)
La1 0.000 0.000 0.000
Sb1 0.250 0.250 0.250
Sb2 0.750 0.750 0.750

***

No. 2
Here is a geometry-optimized Pm3Sb2C structure from Alexandria. Energies are from PBE.

Summary:
Formation energy without anion corrections (eV/atom): -0.50
ρ (g/cm³): 6.547
DOS at the Fermi energy (states/eV/cell): 2.22
DFT total energy (eV per cell): -34.7
Crystal system: orthorhombic

a b c (Å): 8.939 8.939 8.939
angles (deg): 151.75 148.72 42.65
Element x y z (fractional)
Pm1 0.000 0.000 0.000
Pm2 0.345 0.845 0.500
Pm3 0.655 0.155 0.500
Sb1 0.149 0.649 0.500
Sb2 0.851 0.351 0.500
C1 0.500 0.000 0.500

***

No. 3
Here is a geometry-optimized CuTeCl4 structure from Alexandria. Energies are from PBE.

Summary:
Formation energy without anion corrections (eV/atom): 0.83
ρ (g/cm³): 3.990
DOS at the Fermi energy (states/eV/cell): 7.55
Energy relative to the lowest polymorph listed for this composition (eV per atom): 1.2956
DFT total energy (eV per cell): -9.6
Crystal system: cubic

a b c (Å): 5.808 5.808 5.808
angles (deg): 60.00 60.00 60.00
Element x y z (fractional)
Cu1 0.000 0.000 0.000
Te1 0.750 0.750 0.750
Cl1 0.375 0.375 0.375
Cl2 0.375 0.375 0.876
Cl3 0.375 0.876 0.375
Cl4 0.876 0.375 0.375

***

Question: Which of these has the lowest DOS at the Fermi energy?
Answer: Pm3Sb2C

***

What did the first record say?
Here is a geometry-optimized LaSb2 structure from Alexandria. Energies are from PBE.

Summary:
Formation energy without anion corrections (eV/atom): -0.42
ρ (g/cm³): 5.907
DOS at the Fermi energy (states/eV/cell): 2.82
DFT total energy (eV per cell): -14.4
Crystal system: cubic

a b c (Å): 5.337 5.337 5.337
angles (deg): 60.00 60.00 60.00
Element x y z (fractional)
La1 0.000 0.000 0.000
Sb1 0.250 0.250 0.250
Sb2 0.750 0.750 0.750